Entry 1:
Compound: Tb2Pm3Pd4
Source: the Alexandria database
Functional: PBE
Structure: optimized geometry

```
Tb2Pm3Pd4
1.0
-0.918 -6.748 3.176
-2.054 -3.055 -7.084
7.919 1.684 -3.022
Pm Pd Tb
6 8 4
Direct
0.000 0.000 0.000
0.956 0.250 0.412
0.044 0.750 0.588
0.544 0.750 0.588
0.456 0.250 0.412
0.500 0.500 0.000
0.729 0.750 0.958
0.302 0.453 0.604
0.802 0.047 0.604
0.698 0.547 0.396
0.198 0.953 0.396
0.271 0.250 0.042
0.771 0.250 0.042
0.229 0.750 0.958
0.102 0.597 0.205
0.898 0.403 0.795
0.398 0.097 0.795
0.602 0.903 0.205
```

Values from the calculation:
Total moment: 0.00 Bohr magnetons per cell
N(E_F): 14.94 states/eV per cell
Formation energy: -5.39 eV/f.u.
Calculated total energy: -5.519 eV per atom

Entry 2:
Compound: TbPm3Pd
Source: the Alexandria database
Functional: PBE
Structure: optimized geometry

```
TbPm3Pd
1.0
-2.439 -0.057 -2.908
-5.350 -3.066 2.070
-6.227 10.922 2.531
Pm Tb Pd
6 2 2
Direct
0.758 0.728 0.756
0.104 0.169 0.623
0.457 0.933 0.152
0.428 0.627 0.518
0.990 0.101 0.919
0.785 0.043 0.386
0.108 0.502 0.281
0.224 0.558 0.995
0.443 0.336 0.779
0.763 0.341 0.133
```

Values from the calculation:
Total moment: 0.00 Bohr magnetons per cell
Offset from the most stable computed form: 0.000 eV per atom
N(E_F): 11.93 states/eV per cell
Formation energy: -1.65 eV/f.u.
Calculated total energy: -5.146 eV per atom

Copy entry 2 word for word.
Compound: TbPm3Pd
Source: the Alexandria database
Functional: PBE
Structure: optimized geometry

```
TbPm3Pd
1.0
-2.439 -0.057 -2.908
-5.350 -3.066 2.070
-6.227 10.922 2.531
Pm Tb Pd
6 2 2
Direct
0.758 0.728 0.756
0.104 0.169 0.623
0.457 0.933 0.152
0.428 0.627 0.518
0.990 0.101 0.919
0.785 0.043 0.386
0.108 0.502 0.281
0.224 0.558 0.995
0.443 0.336 0.779
0.763 0.341 0.133
```

Values from the calculation:
Total moment: 0.00 Bohr magnetons per cell
Offset from the most stable computed form: 0.000 eV per atom
N(E_F): 11.93 states/eV per cell
Formation energy: -1.65 eV/f.u.
Calculated total energy: -5.146 eV per atom